Sc5AgBi | PBE | optimized geometry

Output
**Formation energy**: -0.048 eV per atom
**DFT total energy**: -77.45 eV per cell
**Total magnetic moment**: 0.169 μB/atom

Geometry as POSCAR:
```
Sc5AgBi
1.0
-1.724 5.099 -2.783
-3.613 -0.268 -4.857
-9.863 1.625 4.778
Sc Ag Bi
10 2 2
Cartesian
-7.626 4.419 -2.606 Sc
-5.444 4.598 -4.839 Sc
-10.774 1.623 -1.014 Sc
-12.960 4.089 -0.659 Sc
-4.375 2.320 0.080 Sc
-2.240 2.368 -2.203 Sc
-7.574 2.037 -0.256 Sc
-4.426 4.834 -1.848 Sc
-9.755 1.858 1.977 Sc
-10.824 4.136 -2.942 Sc
-4.932 0.812 2.389 Ag
0.000 0.000 0.000 Ag
-9.828 4.309 0.024 Bi
-5.371 2.148 -2.886 Bi
```


Pm2NpPbO8 | PBE | optimized geometry

Output
**Uncorrected formation energy**: -30.72 eV/f.u.
**DFT total energy**: -96.53 eV per cell
**Total magnetic moment**: 0.025 μB/atom

Geometry as POSCAR:
```
Pm2NpPbO8
1.0
3.967 -0.217 -0.002
-0.171 5.467 -0.002
0.003 0.014 7.759
Np Pm O Pb
1 2 8 1
Cartesian
0.000 0.000 0.000 Np
1.900 2.637 5.846 Pm
1.899 2.626 1.909 Pm
0.021 4.181 6.097 O
0.020 4.171 1.653 O
1.994 3.986 3.874 O
1.806 1.277 3.882 O
3.780 1.092 6.103 O
3.779 1.082 1.658 O
1.736 1.127 0.000 O
2.064 4.136 7.755 O
0.001 0.007 3.880 Pb
```


Y4AlZn2Rh | PBE | optimized geometry

Output
**Formation energy**: -0.511 eV per atom
**DFT total energy**: -43.59 eV per cell
**Total magnetic moment**: 0.000 μB/atom

Geometry as POSCAR:
```
Y4AlZn2Rh
1.0
-4.819 -1.129 0.855
-1.194 -4.209 2.467
-1.699 2.286 8.192
Zn Y Al Rh
2 4 1 1
Cartesian
-1.933 -0.837 2.749 Zn
-5.778 -2.215 8.765 Zn
-3.965 -2.988 3.209 Y
-1.817 0.715 5.455 Y
-5.894 -3.767 6.060 Y
-3.746 -0.064 8.305 Y
0.000 0.000 0.000 Al
-3.856 -1.526 5.757 Rh
```


Ho3Tm4Co4 | PBE | optimized geometry

Output
**Formation energy**: -0.137 eV per atom
**DFT total energy**: -61.55 eV per cell
**Total magnetic moment**: 0.010 μB/atom

Geometry as POSCAR:
```
Ho3Tm4Co4
1.0
3.572 0.000 0.000
0.000 8.678 0.000
-1.786 -4.339 7.682
Tm Ho Co
4 3 4
Cartesian
1.786 5.949 2.552 Tm
1.786 2.728 2.552 Tm
0.000 1.610 5.130 Tm
0.000 -1.610 5.130 Tm
0.000 4.339 0.000 Ho
1.786 4.339 6.088 Ho
0.000 0.000 1.594 Ho
0.000 4.339 3.857 Co
1.786 0.000 3.825 Co
1.786 6.821 0.000 Co
1.786 1.857 0.000 Co
```


Zr2CrSi2 | PBE | optimized geometry

Output
**Uncorrected formation energy**: -3.32 eV/f.u.
**DFT total energy**: -81.77 eV per cell
**Total magnetic moment**: 0.000 μB/atom

Geometry as POSCAR:
```
Zr2CrSi2
1.0
6.549 0.000 0.000
0.000 6.549 0.000
0.000 0.000 3.875
Cr Zr Si
2 4 4
Cartesian
0.000 0.000 0.000 Cr
3.274 3.274 0.000 Cr
4.416 5.408 1.938 Zr
1.141 4.416 1.938 Zr
5.408 2.133 1.938 Zr
2.133 1.141 1.938 Zr
5.690 4.133 0.000 Si
2.416 5.690 0.000 Si
0.859 2.416 0.000 Si
4.133 0.859 0.000 Si
```


Pm4Sm3Y5 | PBE | optimized geometry

Output
**Formation energy**: 0.014 eV per atom
**DFT total energy**: -65.32 eV per cell
**Relative energy among the computed polymorphs**: 0.0 kJ/mol of atoms
**Total magnetic moment**: 0.000 μB/atom

Geometry as POSCAR:
```
Pm4Sm3Y5
1.0
-3.534 -0.749 -6.253
10.732 3.437 1.881
-8.761 -9.360 -2.272
Y Sm Pm
5 3 4
Cartesian
-1.337 -5.761 -2.719 Y
-6.148 -5.054 -4.262 Y
-6.049 -8.203 -6.027 Y
-0.227 -0.911 -3.924 Y
4.485 1.532 -0.616 Y
-4.381 -4.680 -1.136 Sm
-3.206 -2.985 -4.087 Sm
1.642 -3.687 -2.557 Sm
-0.126 -4.060 -5.682 Pm
-3.097 -6.128 -5.852 Pm
1.533 -0.544 -0.791 Pm
-1.438 -2.612 -0.962 Pm
```


Tm3ZnRh | PBE | optimized geometry

Output
**Formation energy**: -0.538 eV per atom
**DFT total energy**: -49.46 eV per cell
**Relative energy among the computed polymorphs**: 0.0 kJ/mol of atoms
**Total magnetic moment**: 0.000 μB/atom

Geometry as POSCAR:
```
Tm3ZnRh
1.0
5.052 -0.309 2.344
1.573 4.811 2.344
-0.044 -0.030 9.240
Tm Zn Rh
6 2 2
Cartesian
4.600 3.126 4.273 Tm
0.473 0.322 6.914 Tm
4.695 3.191 9.884 Tm
1.980 1.345 9.656 Tm
1.885 1.281 4.045 Tm
6.106 4.150 7.015 Tm
2.604 3.246 6.964 Zn
3.976 1.226 6.964 Zn
2.443 3.529 2.344 Rh
4.181 0.973 2.344 Rh
```